## P
A geometry-optimized IrOsRh2 structure, computed with PBE.

As for the total magnetic moment: 0.00 μB/cell.

It has space group I4/mmm (No. 139), with a = 3.8354 Å, b = 3.8354 Å, c = 7.7616 Å, α = 90.00°, β = 90.00° and γ = 90.00°. The asymmetric unit holds Ir at (0.0000, 0.0000, 0.0000), Os at (0.0000, 0.0000, 0.5000) and Rh at (0.0000, 0.5000, 0.2500).

## Q
A geometry-optimized IrOsRh2 structure, computed with PBE.

As for the total magnetic moment: 0.00 μB/cell.

It has space group Pmm2 (No. 25), with a = 2.7251 Å, b = 3.8536 Å, c = 5.4379 Å, α = 90.00°, β = 90.00° and γ = 90.00°. The asymmetric unit holds Ir at (0.0000, 0.0000, 0.0000), Os at (0.5000, 0.5000, 0.2405), Rh at (0.0000, 0.0000, 0.4899) and Rh at (0.5000, 0.5000, 0.7431).

Quick ranking, most stable first: Q, P.